A geometry-optimized SrZnAu2 structure, computed with PBE.

Values from the calculation:
**Total magnetization**: 0.00 μB per cell
**Calculated total energy**: -2.8841 eV/atom
**Formation energy**: -506 meV/atom
**Space group**: Cm (8)

Cell: 4.5710 4.5710 5.9911 Å, 67.41 67.41 60.18°
Last column: nearest neighbours and their distance in Å.
Element x y z (fractional)
Au 0.0288 0.0288 0.9140  3 Zn 2.64, 3 Au 2.90
Au 0.2872 0.2872 0.1384  3 Zn 2.87-2.89, 3 Au 2.90
Sr 0.4920 0.4920 0.5248  4 Zn 3.23-3.40, 7 Au 3.29-3.37
Zn 0.6920 0.6920 0.9228  6 Au 2.64-2.89